{
  "formula": "Nd7In2Pt2",
  "functional": "PBE-GGA",
  "state": "optimized geometry",
  "cell": [[4.234, -5.715, 0.000], [4.234, 5.715, 0.000], [0.000, 0.000, 7.276]],
  "species": ["Nd", "Nd", "Nd", "Nd", "Nd", "Nd", "Nd", "In", "In", "Pt", "Pt"],
  "frac_coords": [[0.000, 0.000, 0.000], [0.000, 0.500, 0.255], [0.000, 0.500, 0.745], [0.500, 0.000, 0.255], [0.500, 0.000, 0.745], [0.500, 0.500, 0.249], [0.500, 0.500, 0.751], [0.169, 0.169, 0.500], [0.831, 0.831, 0.500], [0.290, 0.710, 0.000], [0.710, 0.290, 0.000]],
  "dos_at_fermi_per_ev_fu": 11.437,
  "e_form_ev_per_atom": -0.50,
  "m_tot_mub_per_atom": 0.00,
  "final_energy_ev_per_atom": -5.13,
  "sg": "No. 65"
}